5
Lattice="-2.390 -2.999 2.358 3.479 -0.573 2.799 -2.285 5.466 0.339" Properties=species:S:1:pos:R:3 comment="CaGa2PdAu, optimized geometry, DFT PBE" total_energy_ev_per_cell=-19.6 formation_energy_ev_per_atom=-0.62 pbc="T T T"
Ca 0.000 0.000 0.000
Ga 0.106 -0.858 3.314
Ga -1.302 2.752 2.182
Pd 0.869 1.554 2.858
Au -2.065 0.341 2.637

=====

8
Lattice="4.421 0.000 0.000 2.210 3.829 0.000 2.210 1.276 9.412" Properties=species:S:1:pos:R:3 comment="CaGa4PdAu2, optimized geometry, DFT PBE" total_energy_ev_per_cell=-29.4 formation_energy_ev_per_atom=-0.44 pbc="T T T"
Ca 0.000 0.000 0.000
Ga 4.421 2.552 7.301
Ga 6.631 3.829 3.858
Ga 2.210 1.276 5.554
Ga 4.421 2.552 2.111
Pd 4.421 2.552 4.706
Au 6.631 3.829 7.472
Au 2.210 1.276 1.940

=====

4
Lattice="4.760 0.000 0.000 2.380 4.122 0.000 2.380 1.374 3.887" Properties=species:S:1:pos:R:3 comment="CaGaPdAu, optimized geometry, DFT PBE" total_energy_ev_per_cell=-15.7 formation_energy_ev_per_atom=-0.55 pbc="T T T"
Ca 7.140 4.122 2.915
Au 4.760 2.748 1.943
Ga 2.380 1.374 0.972
Pd 0.000 0.000 0.000

=====

9
Lattice="-0.144 -1.037 -4.733 -4.609 -1.430 0.454 -2.353 7.110 -1.487" Properties=species:S:1:pos:R:3 comment="CaGa2PdAu5, optimized geometry, DFT PBE" total_energy_ev_per_cell=-31.6 formation_energy_ev_per_atom=-0.22 pbc="T T T"
Ca -1.177 3.555 -0.743
Ga -2.742 -0.131 -2.370
Ga -4.365 4.773 -3.396
Pd 0.000 0.000 0.000
Au -2.886 1.043 -0.141
Au -0.654 1.239 -2.734
Au -4.076 4.637 -0.892
Au -1.843 4.834 -3.486
Au -3.553 2.321 -2.883

=====

8
Lattice="-2.343 3.443 -1.194 -3.809 -0.556 -1.988 -6.276 0.900 7.053" Properties=species:S:1:pos:R:3 comment="CaGa4Pd2Au, optimized geometry, DFT PBE" total_energy_ev_per_cell=-31.5 formation_energy_ev_per_atom=-0.47 pbc="T T T"
Ca 0.000 0.000 0.000
Ga -7.497 1.875 4.400
Ga -7.741 2.864 -0.132
Ga -4.688 0.924 4.004
Ga -4.931 1.913 -0.528
Pd -9.261 2.841 2.787
Pd -3.168 0.946 1.085
Au -6.214 1.894 1.936

=====

18
Lattice="-5.252 -1.901 -5.877 2.025 -6.574 -4.292 -4.537 -6.536 1.560" Properties=species:S:1:pos:R:3 comment="Ca2Ga3PdAu12, optimized geometry, DFT PBE" total_energy_ev_per_cell=-59.0 formation_energy_ev_per_atom=-0.08 pbc="T T T"
Ca -4.697 -9.081 -5.207
Ca -3.068 -5.931 -3.401
Ga -2.626 -0.951 -2.938
Ga 1.012 -3.287 -2.146
Ga -2.268 -3.268 0.780
Pd 0.000 0.000 0.000
Au -5.423 -9.207 -2.243
Au -4.453 -9.696 -8.140
Au -4.106 -11.949 -4.526
Au -5.833 -6.556 -6.497
Au -7.642 -9.678 -5.296
Au -1.670 -9.228 -5.591
Au -2.341 -5.805 -6.365
Au -3.311 -5.315 -0.468
Au -3.659 -3.063 -4.083
Au -1.932 -8.456 -2.112
Au -0.122 -5.334 -3.312
Au -6.094 -5.783 -3.018

=====

4
Lattice="5.231 0.000 0.000 2.616 4.531 0.000 2.616 1.510 4.271" Properties=species:S:1:pos:R:3 comment="CaPrGaAu, optimized geometry, DFT PBE" total_energy_ev_per_cell=-15.7 formation_energy_ev_per_atom=-0.64 pbc="T T T"
Pr 0.000 0.000 0.000
Ca 5.231 3.020 2.136
Au 7.847 4.531 3.204
Ga 2.616 1.510 1.068

=====

10
Lattice="-3.873 0.561 1.408 -0.248 -4.046 0.930 4.292 2.246 10.914" Properties=species:S:1:pos:R:3 comment="Ca2Ga3PtAu4, optimized geometry, DFT PBE" total_energy_ev_per_cell=-37.5 formation_energy_ev_per_atom=-0.53 pbc="T T T"
Ca -0.826 0.862 3.528
Ca 3.058 -0.358 8.555
Ga 2.146 1.123 5.457
Ga 1.776 2.223 10.142
Ga 0.457 -1.719 1.941
Pt 0.086 -0.619 6.626
Au -2.060 -1.742 1.169
Au 0.000 0.000 0.000
Au 0.877 1.752 7.856
Au 1.355 -1.249 4.227

=====

| no. | theoretical density (g/cm3) |
| --- | --- |
| 1 | 7.9 |
| 2 | 8.5 |
| 3 | 9.0 |
| 4 | 11.8 |
| 5 | 8.1 |
| 6 | 10.8 |
| 7 | 7.3 |
| 8 | 10.2 |